# 1
Compound: Mg2TaP
Source: Alexandria via LeMat-Bulk
Functional: PBE
Structure: relaxed

Unit cell a=5.398 b=5.398 c=2.893 alpha=95.79 beta=95.79 gamma=121.46
Element x y z (fractional)
Mg (0.000, 0.500, 0.000)
Mg (0.500, 0.000, 0.000)
Ta (0.000, 0.000, 0.500)
P (0.500, 0.500, 0.500)

Output
* M_tot: 0.0 μB/f.u.
* ΔH_f (0 K): 0.083 eV per atom



# 2
Compound: YTe2OsN
Source: Alexandria via LeMat-Bulk
Functional: PBE
Structure: relaxed

Unit cell a=5.518 b=5.518 c=3.748 alpha=90.00 beta=90.00 gamma=90.00
Element x y z (fractional)
Y (0.000, 0.000, 0.000)
Te (0.000, 0.500, 0.500)
Te (0.500, 0.000, 0.500)
Os (0.500, 0.500, 0.500)
N (0.500, 0.500, 0.000)

Output
* M_tot: 0.0 μB/f.u.
* ΔE_f (raw): -0.2008 eV per atom



# 3
Compound: PbSe2Cl
Source: Alexandria via LeMat-Bulk
Functional: PBE
Structure: relaxed

Unit cell a=4.834 b=4.834 c=7.262 alpha=103.01 beta=103.01 gamma=49.72
Element x y z (fractional)
Pb (0.000, 0.000, 0.000)
Se (0.275, 0.275, 0.730)
Se (0.524, 0.524, 0.650)
Cl (0.721, 0.721, 0.198)

Output
* M_tot: 0.0 μB/f.u.
* ΔE_f (raw): -0.3730 eV per atom



# 4
Compound: Er4GaTe3
Source: Alexandria via LeMat-Bulk
Functional: PBE
Structure: relaxed

Unit cell a=7.475 b=7.475 c=4.255 alpha=90.00 beta=90.00 gamma=109.04
Element x y z (fractional)
Er (0.225, 0.225, 0.500)
Er (0.233, 0.767, 0.000)
Er (0.767, 0.233, 0.000)
Er (0.775, 0.775, 0.500)
Ga (0.000, 0.000, 0.000)
Te (0.000, 0.500, 0.500)
Te (0.500, 0.000, 0.500)
Te (0.500, 0.500, 0.000)

Output
* M_tot: 0.0 μB/f.u.
* ΔE_f (raw): -1.1252 eV per atom



# 5
Compound: TbTc4
Source: Alexandria via LeMat-Bulk
Functional: PBE
Structure: relaxed

Unit cell a=4.720 b=4.720 c=4.720 alpha=90.00 beta=90.00 gamma=90.00
Element x y z (fractional)
Tb (0.000, 0.000, 0.000)
Tc (0.000, 0.000, 0.500)
Tc (0.000, 0.500, 0.000)
Tc (0.500, 0.000, 0.000)
Tc (0.500, 0.500, 0.500)

Output
* M_tot: 2.0 μB/f.u.
* ΔH_f (0 K): 2.571 eV per atom



# 6
Compound: Nb3CdHg
Source: Alexandria via LeMat-Bulk
Functional: PBE
Structure: relaxed

Unit cell a=5.075 b=5.075 c=5.075 alpha=90.00 beta=90.00 gamma=90.00
Element x y z (fractional)
Nb (0.000, 0.000, 0.500)
Nb (0.000, 0.500, 0.000)
Nb (0.500, 0.000, 0.000)
Cd (0.500, 0.500, 0.500)
Hg (0.000, 0.000, 0.000)

Output
* M_tot: 1.0 μB/f.u.
* ΔH_f (0 K): 1.789 eV per atom



# 7
Compound: ScCuW2
Source: Alexandria via LeMat-Bulk
Functional: PBE
Structure: relaxed

Unit cell a=2.770 b=4.302 c=5.708 alpha=90.00 beta=102.48 gamma=90.00
Element x y z (fractional)
Sc (0.000, 0.000, 0.000)
Cu (0.436, 0.500, 0.754)
W (0.497, 0.500, 0.275)
W (0.881, 0.000, 0.491)

Output
* M_tot: 0.0 μB/f.u.
* ΔH_f (0 K): 0.255 eV per atom



# 8
Compound: Tb14CeDy
Source: Alexandria via LeMat-Bulk
Functional: PBE
Structure: relaxed

Unit cell a=7.120 b=7.120 c=10.061 alpha=90.00 beta=90.00 gamma=90.00
Element x y z (fractional)
Tb (0.000, 0.000, 0.000)
Tb (0.000, 0.500, 0.000)
Tb (0.000, 0.500, 0.500)
Tb (0.249, 0.249, 0.251)
Tb (0.249, 0.249, 0.749)
Tb (0.249, 0.751, 0.251)
Tb (0.249, 0.751, 0.749)
Tb (0.500, 0.000, 0.000)
Tb (0.500, 0.000, 0.500)
Tb (0.500, 0.500, 0.000)
Tb (0.751, 0.249, 0.251)
Tb (0.751, 0.249, 0.749)
Tb (0.751, 0.751, 0.251)
Tb (0.751, 0.751, 0.749)
Ce (0.000, 0.000, 0.500)
Dy (0.500, 0.500, 0.500)

Output
* M_tot: 0.9 μB/f.u.
* ΔH_f (0 K): 0.026 eV per atom